{
  "formula": "AsCl",
  "functional": "PBE",
  "state": "optimized geometry",
  "energy_ev_per_cell": -14.613,
  "density_g_cm3": 2.89,
  "e_form_raw_mev_per_atom": -405,
  "cell": [[3.858, 0.000, 0.000], [0.000, 4.298, 0.022], [0.000, 4.338, 7.670]],
  "species": ["As", "As", "Cl", "Cl"],
  "fractional_positions": [[0.000, 0.077, 0.869], [0.500, 0.673, 0.881], [0.000, 0.395, 0.580], [0.500, 0.355, 0.170]]
}